Entry 1:
Below is KCa2As2 after structural relaxation, with properties calculated at the PBE level.

Energy ... -3.71 eV per atom
Excess energy over the best structure of this formula in the dataset ... 0 meV per atom
Symmetry ... P4/mbm
E_form ... -0.83 eV/atom
D(E_F) ... 0.666 states/eV/f.u.

Geometry as extended XYZ:
```
10
Lattice="8.735 0.000 0.000 0.000 8.735 0.000 0.000 0.000 3.469" Properties=species:S:1:pos:R:3 pbc="T T T"
K 0.000 0.000 0.000
K 4.368 4.368 0.000
Ca 1.157 3.211 0.000
Ca 3.211 7.578 0.000
Ca 5.524 1.157 0.000
Ca 7.578 5.524 0.000
As 1.442 5.809 1.735
As 2.926 1.442 1.735
As 5.809 7.293 1.735
As 7.293 2.926 1.735
```



Entry 2:
Below is Pm2FeOs3 after structural relaxation, with properties calculated at the PBE level.

Energy ... -8.73 eV per atom
Symmetry ... C2/m
E_form ... -0.12 eV/atom
D(E_F) ... 5.752 states/eV/f.u.

Geometry as extended XYZ:
```
6
Lattice="4.638 -2.694 0.000 4.638 2.694 0.000 -3.058 0.000 4.414" Properties=species:S:1:pos:R:3 pbc="T T T"
Pm -0.004 0.000 1.662
Pm 6.222 0.000 2.752
Fe 4.638 0.000 0.000
Os 2.319 1.347 0.000
Os 2.319 -1.347 0.000
Os 3.109 0.000 2.207
```



Entry 3:
Below is Si2AgCl after structural relaxation, with properties calculated at the PBE level.

Energy ... -3.35 eV per atom
Excess energy over the best structure of this formula in the dataset ... 517 meV per atom
Formation energy without anion corrections ... 0.5403 eV/atom
Symmetry ... I-4m2
D(E_F) ... 1.732 states/eV/f.u.

Geometry as extended XYZ:
```
4
Lattice="-2.325 2.325 3.311 2.325 -2.325 3.311 2.325 2.325 -3.311" Properties=species:S:1:pos:R:3 pbc="T T T"
Si 0.000 0.000 0.000
Si 0.000 2.325 1.655
Ag 2.325 0.000 1.655
Cl 0.000 0.000 3.311
```



Entry 4:
Below is Ba5Cd after structural relaxation, with properties calculated at the PBE level.

Energy ... -1.85 eV per atom
Excess energy over the best structure of this formula in the dataset ... 0 meV per atom
Symmetry ... C2/m
E_form ... -0.09 eV/atom
D(E_F) ... 7.840 states/eV/f.u.

Geometry as extended XYZ:
```
6
Lattice="7.584 -2.197 0.000 7.584 2.197 0.000 -4.221 0.000 9.900" Properties=species:S:1:pos:R:3 pbc="T T T"
Ba 0.000 0.000 0.000
Ba 4.150 0.000 2.174
Ba 2.951 0.000 6.240
Ba 7.995 0.000 3.659
Ba 6.796 0.000 7.726
Cd -2.111 0.000 4.950
```



Entry 5:
Below is SiNi2Os after structural relaxation, with properties calculated at the PBE level.

Energy ... -7.17 eV per atom
Formation energy without anion corrections ... -0.1194 eV/atom
Symmetry ... R-3m
D(E_F) ... 2.731 states/eV/f.u.

Geometry as extended XYZ:
```
4
Lattice="1.328 0.767 7.939 -1.328 0.767 7.939 0.000 -1.533 7.939" Properties=species:S:1:pos:R:3 pbc="T T T"
Si 0.000 0.000 0.000
Ni 0.000 0.000 6.119
Ni 0.000 0.000 17.697
Os 0.000 0.000 11.908
```



Entry 6:
Below is Mg3Mn4S8 after structural relaxation, with properties calculated at the PBE level.

Energy ... -5.84 eV per atom
Formation energy without anion corrections ... -0.8702 eV/atom
Symmetry ... C2/m
D(E_F) ... 4.489 states/eV/f.u.

Geometry as extended XYZ:
```
15
Lattice="5.131 -5.143 0.000 5.131 5.143 0.000 -5.115 0.000 5.145" Properties=species:S:1:pos:R:3 pbc="T T T"
Mg 0.000 0.000 0.000
Mg 2.565 2.571 0.000
Mg 2.565 -2.571 0.000
Mn 0.008 2.571 2.572
Mn 0.008 -2.571 2.572
Mn 5.131 0.000 0.000
Mn 2.573 0.000 2.572
S 5.131 2.571 0.000
S 0.104 0.000 2.587
S 2.573 2.447 2.572
S 2.582 0.000 0.170
S 2.564 0.000 4.975
S 2.573 -2.447 2.572
S 5.043 0.000 2.558
S 5.131 -2.571 0.000
```



Entry 7:
Below is CeGeCl after structural relaxation, with properties calculated at the PBE level.

Energy ... -5.43 eV per atom
Formation energy without anion corrections ... -1.2946 eV/atom
Symmetry ... C2/m
D(E_F) ... 6.230 states/eV/f.u.

Geometry as extended XYZ:
```
6
Lattice="3.703 -2.140 0.000 3.703 2.140 0.000 -2.477 0.000 10.316" Properties=species:S:1:pos:R:3 pbc="T T T"
Ce -0.001 0.000 2.021
Ce 4.930 0.000 8.295
Ge 2.468 0.000 0.171
Ge 2.461 0.000 10.144
Cl -0.006 0.000 6.688
Cl 4.935 0.000 3.627
```



Entry 8:
Below is Nd5Si2I after structural relaxation, with properties calculated at the PBE level.

Energy ... -5.11 eV per atom
Formation energy without anion corrections ... -0.5840 eV/atom
Symmetry ... I4/mcm
D(E_F) ... 10.670 states/eV/f.u.

Geometry as extended XYZ:
```
16
Lattice="-4.002 4.002 7.127 4.002 -4.002 7.127 4.002 4.002 -7.127" Properties=species:S:1:pos:R:3 pbc="T T T"
Nd 0.000 0.000 0.000
Nd 5.242 1.240 -1.937
Nd 1.240 2.762 -1.937
Nd 5.242 1.240 1.937
Nd 1.240 2.762 1.937
Nd 0.000 0.000 7.127
Nd 2.762 1.240 5.190
Nd -1.240 2.762 5.190
Nd 2.762 1.240 9.065
Nd -1.240 2.762 9.065
Si 2.836 1.166 0.000
Si 2.836 -1.166 7.127
Si 1.166 5.168 0.000
Si 1.166 2.836 7.127
I 0.000 0.000 3.564
I 0.000 0.000 10.691
```



Please write out number 5 again, unchanged.
Below is SiNi2Os after structural relaxation, with properties calculated at the PBE level.

Energy ... -7.17 eV per atom
Formation energy without anion corrections ... -0.1194 eV/atom
Symmetry ... R-3m
D(E_F) ... 2.731 states/eV/f.u.

Geometry as extended XYZ:
```
4
Lattice="1.328 0.767 7.939 -1.328 0.767 7.939 0.000 -1.533 7.939" Properties=species:S:1:pos:R:3 pbc="T T T"
Si 0.000 0.000 0.000
Ni 0.000 0.000 6.119
Ni 0.000 0.000 17.697
Os 0.000 0.000 11.908
```